Compound: Ba8SrCa2
Source: Alexandria
Functional: PBE
Structure: relaxed

The value obtained for the total energy is -19.582 eV/cell. Its theoretical density is 3.14 g/cm³. The calculation puts the total magnetization at 0.73 μB/cell. The value obtained for the density of states at the Fermi level is 1.72 states/eV per atom. The value obtained for the formation energy is 0.135 eV per atom.

Lattice parameters (Å, degrees): 11.0706 11.0706 7.2734 104.19 104.19 120.33
Fractional coordinates of all 11 atoms:
Ba  0.1005  0.3308  0.6332
Ba  0.2153  0.7847  0.0000
Ba  0.3308  0.1005  0.6332
Ba  0.4012  0.4012  0.1940
Ba  0.5988  0.5988  0.8060
Ba  0.6692  0.8995  0.3668
Ba  0.7847  0.2153  0.0000
Ba  0.8995  0.6692  0.3668
Sr  0.0000  0.0000  0.0000
Ca  0.3078  0.6922  0.5000
Ca  0.6922  0.3078  0.5000


Compound: BaSrCa5
Source: Alexandria
Functional: PBE
Structure: relaxed

The value obtained for the total energy is -26.306 eV/cell. Its theoretical density is 2.12 g/cm³. The calculation puts the total magnetization at 0.00 μB/cell. The value obtained for the density of states at the Fermi level is 1.29 states/eV per atom. The value obtained for the formation energy is 0.066 eV per atom.

Lattice parameters (Å, degrees): 7.1897 7.1897 13.6084 100.39 100.39 100.07
Fractional coordinates of all 14 atoms:
Ba  0.2197  0.7803  0.7500
Ba  0.7803  0.2197  0.2500
Sr  0.0000  0.5000  0.0000
Sr  0.5000  0.0000  0.5000
Ca  0.0864  0.2748  0.5457
Ca  0.1338  0.8662  0.2500
Ca  0.2748  0.0864  0.0457
Ca  0.3465  0.4423  0.3509
Ca  0.4423  0.3465  0.8509
Ca  0.5577  0.6535  0.1491
Ca  0.6535  0.5577  0.6491
Ca  0.7252  0.9136  0.9543
Ca  0.8662  0.1338  0.7500
Ca  0.9136  0.7252  0.4543


Compound: Ba6SrCa10
Source: Alexandria
Functional: PBE
Structure: relaxed

The value obtained for the total energy is -31.510 eV/cell. Its theoretical density is 2.50 g/cm³. The calculation puts the total magnetization at 0.00 μB/cell. The value obtained for the density of states at the Fermi level is 1.58 states/eV per atom. The value obtained for the formation energy is 0.101 eV per atom.

Lattice parameters (Å, degrees): 11.2634 11.2634 7.9313 90.00 90.00 120.00
Fractional coordinates of all 17 atoms:
Ba  0.0000  0.3499  0.3325
Ba  0.0000  0.6501  0.6675
Ba  0.3499  0.0000  0.3325
Ba  0.3499  0.3499  0.6675
Ba  0.6501  0.0000  0.6675
Ba  0.6501  0.6501  0.3325
Sr  0.0000  0.0000  0.5000
Ca  0.0000  0.3143  0.8429
Ca  0.0000  0.6857  0.1571
Ca  0.3143  0.0000  0.8429
Ca  0.3143  0.3143  0.1571
Ca  0.3333  0.6667  0.0000
Ca  0.3333  0.6667  0.5000
Ca  0.6667  0.3333  0.0000
Ca  0.6667  0.3333  0.5000
Ca  0.6857  0.0000  0.1571
Ca  0.6857  0.6857  0.8429


Compound: Ba2Sr7Ca2
Source: Alexandria
Functional: PBE
Structure: relaxed

The value obtained for the total energy is -18.943 eV/cell. Its theoretical density is 2.66 g/cm³. The calculation puts the total magnetization at 0.00 μB/cell. The value obtained for the density of states at the Fermi level is 1.26 states/eV per atom. The value obtained for the formation energy is 0.062 eV per atom.

Lattice parameters (Å, degrees): 7.2834 7.2834 11.7676 94.45 94.45 102.95
Fractional coordinates of all 11 atoms:
Ba  0.2148  0.7852  0.0000
Ba  0.7852  0.2148  0.0000
Sr  0.0746  0.6944  0.6422
Sr  0.2369  0.2369  0.7881
Sr  0.3056  0.9254  0.3578
Sr  0.5000  0.5000  0.5000
Sr  0.6944  0.0746  0.6422
Sr  0.7631  0.7631  0.2119
Sr  0.9254  0.3056  0.3578
Ca  0.3357  0.3357  0.1538
Ca  0.6643  0.6643  0.8462


Compound: Ba8Sr6Ca
Source: Alexandria
Functional: PBE
Structure: relaxed

The value obtained for the total energy is -24.441 eV/cell. Its theoretical density is 2.73 g/cm³. The calculation puts the total magnetization at 0.00 μB/cell. The value obtained for the density of states at the Fermi level is 1.58 states/eV per atom. The value obtained for the formation energy is 0.202 eV per atom.

Lattice parameters (Å, degrees): 10.8901 10.8901 10.8901 65.00 65.00 65.00
Fractional coordinates of all 15 atoms:
Ba  0.0330  0.7229  0.3891
Ba  0.1637  0.1637  0.1637
Ba  0.2771  0.6109  0.9670
Ba  0.3891  0.0330  0.7229
Ba  0.6109  0.9670  0.2771
Ba  0.7229  0.3891  0.0330
Ba  0.8363  0.8363  0.8363
Ba  0.9670  0.2771  0.6109
Sr  0.1361  0.4559  0.7787
Sr  0.2213  0.8639  0.5441
Sr  0.4559  0.7787  0.1361
Sr  0.5441  0.2213  0.8639
Sr  0.7787  0.1361  0.4559
Sr  0.8639  0.5441  0.2213
Ca  0.5000  0.5000  0.5000


Compound: Ba3Sr2Ca2
Source: Alexandria
Functional: PBE
Structure: relaxed

The value obtained for the total energy is -12.961 eV/cell. Its theoretical density is 2.92 g/cm³. The calculation puts the total magnetization at 0.00 μB/cell. The value obtained for the density of states at the Fermi level is 1.41 states/eV per atom. The value obtained for the formation energy is 0.025 eV per atom.

Lattice parameters (Å, degrees): 8.0190 8.0190 10.5880 99.12 99.12 34.40
Fractional coordinates of all 7 atoms:
Ba  0.0000  0.0000  0.0000
Ba  0.2771  0.2771  0.8444
Ba  0.7229  0.7229  0.1556
Sr  0.1369  0.1369  0.4399
Sr  0.8631  0.8631  0.5601
Ca  0.4361  0.4361  0.2898
Ca  0.5639  0.5639  0.7102